1.
Nb3Ru: optimized geometry, PBE.

Unit cell a=5.3875 b=5.3875 c=5.3875 alpha=145.03 beta=129.67 gamma=62.76
Last column: nearest neighbours and their distance in Å.
Fractional positions:
Nb: 0.0000 0.0000 0.0000  4 Ru 2.81, 4 Nb 2.84
Nb: 0.2535 0.7535 0.5000  2 Ru 2.79, 6 Nb 2.81-2.84
Nb: 0.7465 0.2465 0.5000  2 Ru 2.79, 6 Nb 2.81-2.84
Ru: 0.5000 0.5000 0.0000  8 Nb 2.79-2.81

Summary:
**ΔE_f**: -80.1 kJ/mol of formula units
**Calculated volume**: 68 Å³/f.u.
**Electronic total energy**: -40.3 eV per cell
**ρ**: 9.24 g/cm³

---

2.
Sr2TbBiO5: optimized geometry, PBE.

Unit cell a=7.2294 b=7.2294 c=12.8444 alpha=90.00 beta=90.00 gamma=151.34
Last column: nearest neighbours and their distance in Å.
Fractional positions:
Sr: 0.0644 0.9356 0.5000  6 O 2.49-2.66
Sr: 0.1655 0.8345 0.0885  5 O 2.43-2.62
Sr: 0.8345 0.1655 0.5885  5 O 2.43-2.62
Sr: 0.9356 0.0644 0.0000  6 O 2.49-2.66
Tb: 0.2553 0.7447 0.8497  6 O 2.23-2.44
Tb: 0.7447 0.2553 0.3497  6 O 2.23-2.44
Bi: 0.4561 0.5439 0.2758  4 O 2.17-2.37
Bi: 0.5439 0.4561 0.7758  4 O 2.17-2.37
O: 0.0880 0.9120 0.8771  2 Bi 2.30, 1 Tb 2.37
O: 0.2426 0.7574 0.4789  2 Tb 2.44, 3 Sr 2.51-2.62
O: 0.2649 0.7351 0.2432  2 Tb 2.27, 1 Sr 2.43
O: 0.4136 0.5864 0.8674  1 Bi 2.17, 1 Tb 2.23
O: 0.4697 0.5303 0.6098  1 Bi 2.37, 4 Sr 2.62-2.64
O: 0.5303 0.4697 0.1098  1 Bi 2.37, 4 Sr 2.62-2.64
O: 0.5864 0.4136 0.3674  1 Bi 2.17, 1 Tb 2.23
O: 0.7351 0.2649 0.7432  2 Tb 2.27, 1 Sr 2.43
O: 0.7574 0.2426 0.9789  2 Tb 2.44, 3 Sr 2.51-2.62
O: 0.9120 0.0880 0.3771  2 Bi 2.30, 1 Tb 2.37

Summary:
**Uncorrected formation energy**: -2.485 eV/atom
**Calculated volume**: 161 Å³/f.u.
**Electronic total energy**: -118.1 eV per cell
**ρ**: 6.43 g/cm³

---

3.
TbPm2Pb: optimized geometry, PBE.

Unit cell a=12.3926 b=12.3926 c=12.3926 alpha=16.35 beta=16.35 gamma=16.35
Last column: nearest neighbours and their distance in Å.
Fractional positions:
Tb: 0.0000 0.0000 0.0000  2 Pm 3.38, 6 Tb 3.52
Pm: 0.0921 0.0921 0.0921  1 Tb 3.38, 3 Pb 3.41, 6 Pm 3.52
Pm: 0.9079 0.9079 0.9079  1 Tb 3.38, 3 Pb 3.41, 6 Pm 3.52
Pb: 0.5000 0.5000 0.5000  6 Pm 3.41, 6 Pb 3.52

Summary:
**ΔE_f**: 25.2 kJ/mol of formula units
**Calculated volume**: 132 Å³/f.u.
**Electronic total energy**: -17.6 eV per cell
**Distance to the lowest polymorph of the same formula**: 383.5 meV/atom
**ρ**: 8.28 g/cm³

---

4.
BaMg2AgCl8: optimized geometry, PBE.

Unit cell a=6.3352 b=7.8250 c=6.6205 alpha=90.00 beta=93.62 gamma=90.00
Last column: nearest neighbours and their distance in Å.
Fractional positions:
Ba: 0.0000 0.0000 0.0000  6 Cl 2.97-3.17
Mg: 0.5000 0.2715 0.5000  6 Cl 2.48-2.65
Mg: 0.5000 0.7285 0.5000  6 Cl 2.48-2.65
Ag: 0.0000 0.5000 0.0000  4 Cl 2.54
Cl: 0.2640 0.2883 0.1615  1 Ag 2.54, 1 Mg 2.62
Cl: 0.2640 0.7117 0.1615  1 Ag 2.54, 1 Mg 2.62
Cl: 0.2778 0.5000 0.6356  2 Mg 2.48
Cl: 0.3024 0.0000 0.6359  2 Mg 2.65
Cl: 0.6976 0.0000 0.3641  2 Mg 2.65
Cl: 0.7222 0.5000 0.3644  2 Mg 2.48
Cl: 0.7360 0.2883 0.8385  1 Ag 2.54, 1 Mg 2.62
Cl: 0.7360 0.7117 0.8385  1 Ag 2.54, 1 Mg 2.62

Summary:
**Uncorrected formation energy**: -1.538 eV/atom
**Calculated volume**: 328 Å³/f.u.
**Electronic total energy**: -41.2 eV per cell
**ρ**: 2.93 g/cm³

---

5.
HfSi2Br: optimized geometry, PBE.

Unit cell a=7.6574 b=7.6574 c=7.6574 alpha=132.43 beta=132.43 gamma=69.56
Last column: nearest neighbours and their distance in Å.
Fractional positions:
Hf: 0.0000 0.0000 0.0000  4 Si 2.61
Hf: 0.7500 0.2500 0.5000  4 Si 2.61
Si: 0.1020 0.6250 0.9770  2 Hf 2.61, 2 Br 2.78
Si: 0.3750 0.3520 0.4770  2 Hf 2.61, 2 Br 2.78
Si: 0.6480 0.1250 0.0230  2 Hf 2.61, 2 Br 2.78
Si: 0.8750 0.8980 0.5230  2 Hf 2.61, 2 Br 2.78
Br: 0.2500 0.7500 0.5000  4 Si 2.78
Br: 0.5000 0.5000 0.0000  4 Si 2.78

Summary:
**Uncorrected formation energy**: 0.827 eV/atom
**Calculated volume**: 120 Å³/f.u.
**Electronic total energy**: -38.3 eV per cell
**Distance to the lowest polymorph of the same formula**: 228.0 meV/atom
**ρ**: 4.35 g/cm³

---

6.
Al5Ga3Hg12: optimized geometry, PBE.

Unit cell a=13.9700 b=13.9700 c=13.9700 alpha=109.47 beta=109.47 gamma=109.47
Last column: nearest neighbours and their distance in Å.
Fractional positions:
Al: 0.0000 0.0000 0.0000  6 Hg 2.76
Al: 0.0000 0.0000 0.5000  6 Hg 2.76
Al: 0.0000 0.5000 0.0000  6 Hg 2.76
Al: 0.0000 0.5000 0.5000  6 Hg 2.76
Al: 0.1250 0.7500 0.8750  4 Hg 2.62
Al: 0.1250 0.8750 0.2500  4 Hg 2.62
Al: 0.2500 0.1250 0.8750  4 Hg 2.62
Al: 0.2500 0.6250 0.3750  4 Hg 2.62
Al: 0.3750 0.2500 0.6250  4 Hg 2.62
Al: 0.3750 0.6250 0.7500  4 Hg 2.62
Al: 0.5000 0.0000 0.0000  6 Hg 2.76
Al: 0.5000 0.0000 0.5000  6 Hg 2.76
Al: 0.5000 0.5000 0.0000  6 Hg 2.76
Al: 0.5000 0.5000 0.5000  6 Hg 2.76
Al: 0.6250 0.3750 0.2500  4 Hg 2.62
Al: 0.6250 0.7500 0.3750  4 Hg 2.62
Al: 0.7500 0.3750 0.6250  4 Hg 2.62
Al: 0.7500 0.8750 0.1250  4 Hg 2.62
Al: 0.8750 0.1250 0.7500  4 Hg 2.62
Al: 0.8750 0.2500 0.1250  4 Hg 2.62
Ga: 0.1250 0.2500 0.3750  4 Hg 2.80
Ga: 0.1250 0.3750 0.7500  4 Hg 2.80
Ga: 0.2500 0.3750 0.1250  4 Hg 2.80
Ga: 0.2500 0.8750 0.6250  4 Hg 2.80
Ga: 0.3750 0.1250 0.2500  4 Hg 2.80
Ga: 0.3750 0.7500 0.1250  4 Hg 2.80
Ga: 0.6250 0.2500 0.8750  4 Hg 2.80
Ga: 0.6250 0.8750 0.7500  4 Hg 2.80
Ga: 0.7500 0.1250 0.3750  4 Hg 2.80
Ga: 0.7500 0.6250 0.8750  4 Hg 2.80
Ga: 0.8750 0.6250 0.2500  4 Hg 2.80
Ga: 0.8750 0.7500 0.6250  4 Hg 2.80
Hg: 0.0541 0.2289 0.1229  2 Al 2.62-2.76, 1 Ga 2.80
Hg: 0.0541 0.3252 0.9311  2 Al 2.62-2.76, 1 Ga 2.80
Hg: 0.0689 0.6229 0.3941  2 Al 2.62-2.76, 1 Ga 2.80
Hg: 0.0689 0.9459 0.6748  2 Al 2.62-2.76, 1 Ga 2.80
Hg: 0.1059 0.7289 0.6748  2 Al 2.62-2.76, 1 Ga 2.80
Hg: 0.1059 0.8771 0.4311  2 Al 2.62-2.76, 1 Ga 2.80
Hg: 0.1229 0.0541 0.2289  2 Al 2.62-2.76, 1 Ga 2.80
Hg: 0.1229 0.5689 0.8941  2 Al 2.62-2.76, 1 Ga 2.80
Hg: 0.1748 0.2289 0.6059  2 Al 2.62-2.76, 1 Ga 2.80
Hg: 0.1748 0.4459 0.5689  2 Al 2.62-2.76, 1 Ga 2.80
Hg: 0.2289 0.1229 0.0541  2 Al 2.62-2.76, 1 Ga 2.80
Hg: 0.2289 0.6059 0.1748  2 Al 2.62-2.76, 1 Ga 2.80
Hg: 0.2711 0.3252 0.8941  2 Al 2.62-2.76, 1 Ga 2.80
Hg: 0.2711 0.4459 0.3771  2 Al 2.62-2.76, 1 Ga 2.80
Hg: 0.3252 0.8941 0.2711  2 Al 2.62-2.76, 1 Ga 2.80
Hg: 0.3252 0.9311 0.0541  2 Al 2.62-2.76, 1 Ga 2.80
Hg: 0.3771 0.2711 0.4459  2 Al 2.62-2.76, 1 Ga 2.80
Hg: 0.3771 0.6059 0.9311  2 Al 2.62-2.76, 1 Ga 2.80
Hg: 0.3941 0.0689 0.6229  2 Al 2.62-2.76, 1 Ga 2.80
Hg: 0.3941 0.8252 0.7711  2 Al 2.62-2.76, 1 Ga 2.80
Hg: 0.4311 0.1059 0.8771  2 Al 2.62-2.76, 1 Ga 2.80
Hg: 0.4311 0.8252 0.5541  2 Al 2.62-2.76, 1 Ga 2.80
Hg: 0.4459 0.3771 0.2711  2 Al 2.62-2.76, 1 Ga 2.80
Hg: 0.4459 0.5689 0.1748  2 Al 2.62-2.76, 1 Ga 2.80
Hg: 0.5541 0.4311 0.8252  2 Al 2.62-2.76, 1 Ga 2.80
Hg: 0.5541 0.6229 0.7289  2 Al 2.62-2.76, 1 Ga 2.80
Hg: 0.5689 0.1748 0.4459  2 Al 2.62-2.76, 1 Ga 2.80
Hg: 0.5689 0.8941 0.1229  2 Al 2.62-2.76, 1 Ga 2.80
Hg: 0.6059 0.1748 0.2289  2 Al 2.62-2.76, 1 Ga 2.80
Hg: 0.6059 0.9311 0.3771  2 Al 2.62-2.76, 1 Ga 2.80
Hg: 0.6229 0.3941 0.0689  2 Al 2.62-2.76, 1 Ga 2.80
Hg: 0.6229 0.7289 0.5541  2 Al 2.62-2.76, 1 Ga 2.80
Hg: 0.6748 0.0689 0.9459  2 Al 2.62-2.76, 1 Ga 2.80
Hg: 0.6748 0.1059 0.7289  2 Al 2.62-2.76, 1 Ga 2.80
Hg: 0.7289 0.5541 0.6229  2 Al 2.62-2.76, 1 Ga 2.80
Hg: 0.7289 0.6748 0.1059  2 Al 2.62-2.76, 1 Ga 2.80
Hg: 0.7711 0.3941 0.8252  2 Al 2.62-2.76, 1 Ga 2.80
Hg: 0.7711 0.8771 0.9459  2 Al 2.62-2.76, 1 Ga 2.80
Hg: 0.8252 0.5541 0.4311  2 Al 2.62-2.76, 1 Ga 2.80
Hg: 0.8252 0.7711 0.3941  2 Al 2.62-2.76, 1 Ga 2.80
Hg: 0.8771 0.4311 0.1059  2 Al 2.62-2.76, 1 Ga 2.80
Hg: 0.8771 0.9459 0.7711  2 Al 2.62-2.76, 1 Ga 2.80
Hg: 0.8941 0.1229 0.5689  2 Al 2.62-2.76, 1 Ga 2.80
Hg: 0.8941 0.2711 0.3252  2 Al 2.62-2.76, 1 Ga 2.80
Hg: 0.9311 0.0541 0.3252  2 Al 2.62-2.76, 1 Ga 2.80
Hg: 0.9311 0.3771 0.6059  2 Al 2.62-2.76, 1 Ga 2.80
Hg: 0.9459 0.6748 0.0689  2 Al 2.62-2.76, 1 Ga 2.80
Hg: 0.9459 0.7711 0.8771  2 Al 2.62-2.76, 1 Ga 2.80

Summary:
**ΔE_f**: 405.4 kJ/mol of formula units
**Calculated volume**: 525 Å³/f.u.
**Electronic total energy**: -108.9 eV per cell
**ρ**: 8.71 g/cm³

---

7.
V2TcB4: optimized geometry, PBE.

Unit cell a=6.0696 b=6.0696 c=6.0696 alpha=142.27 beta=142.27 gamma=54.42
Last column: nearest neighbours and their distance in Å.
Fractional positions:
V: 0.1158 0.1158 0.0000  1 B 2.04
V: 0.8842 0.8842 0.0000  1 B 2.04
Tc: 0.5000 0.5000 0.0000  6 B 1.96-2.11
B: 0.0000 0.5000 0.5000  2 Tc 1.96
B: 0.3045 0.3045 0.0000  1 V 2.04, 1 Tc 2.11
B: 0.5000 0.0000 0.5000  2 Tc 1.96
B: 0.6955 0.6955 0.0000  1 V 2.04, 1 Tc 2.11

Summary:
**ΔE_f**: 429.3 kJ/mol of formula units
**Calculated volume**: 83 Å³/f.u.
**Electronic total energy**: -50.9 eV per cell
**ρ**: 4.86 g/cm³

---

8.
ReSb2As: optimized geometry, PBE.

Unit cell a=4.9467 b=4.9467 c=3.3339 alpha=90.00 beta=90.00 gamma=101.51
Last column: nearest neighbours and their distance in Å.
Fractional positions:
Re: 0.0000 0.0000 0.0000  8 Sb 2.98, 2 As 3.13, 2 Re 3.33
Sb: 0.0000 0.5000 0.5000  4 As 2.98, 4 Re 2.98, 4 Sb 3.13-3.33
Sb: 0.5000 0.0000 0.5000  4 As 2.98, 4 Re 2.98, 4 Sb 3.13-3.33
As: 0.5000 0.5000 0.0000  8 Sb 2.98, 2 Re 3.13, 2 As 3.33

Summary:
**Uncorrected formation energy**: 0.765 eV/atom
**Calculated volume**: 80 Å³/f.u.
**Electronic total energy**: -22.3 eV per cell
**ρ**: 10.48 g/cm³

---

9.
LaSiNi2: optimized geometry, PBE.

Unit cell a=4.0392 b=4.2593 c=4.4809 alpha=90.00 beta=90.00 gamma=90.00
Last column: nearest neighbours and their distance in Å.
Fractional positions:
La: 0.0000 0.0000 0.0000  8 Ni 2.92-3.11
Si: 0.5000 0.5000 0.6514  4 Ni 2.24-2.28
Ni: 0.5000 0.0000 0.4710  2 Si 2.28
Ni: 0.5000 0.5000 0.1505  2 Si 2.24

Summary:
**Uncorrected formation energy**: -0.448 eV/atom
**Calculated volume**: 77 Å³/f.u.
**Electronic total energy**: -23.7 eV per cell
**ρ**: 6.13 g/cm³

---

10.
Zr2TeP: optimized geometry, PBE.

Unit cell a=5.3332 b=5.3332 c=4.8077 alpha=98.18 beta=98.18 gamma=38.85
Last column: nearest neighbours and their distance in Å.
Fractional positions:
Zr: 0.0000 0.0000 0.0000  3 Te 2.84-2.88, 4 P 2.86-3.12, 1 Zr 3.17
Zr: 0.2165 0.2165 0.5853  3 P 2.75-2.95, 4 Te 2.95-3.03
Te: 0.7284 0.7284 0.0996  7 Zr 2.84-3.03
P: 0.5049 0.5049 0.5360  5 Zr 2.75-2.95

Summary:
**Uncorrected formation energy**: -0.774 eV/atom
**Calculated volume**: 85 Å³/f.u.
**Electronic total energy**: -28.7 eV per cell
**Distance to the lowest polymorph of the same formula**: 376.7 meV/atom
**ρ**: 6.68 g/cm³

---

11.
Li2MoPd2: optimized geometry, PBE.

Unit cell a=7.0967 b=7.0967 c=2.7255 alpha=90.00 beta=90.00 gamma=90.00
Last column: nearest neighbours and their distance in Å.
Fractional positions:
Li: 0.1124 0.3876 0.0000  1 Li 2.26, 2 Pd 2.42
Li: 0.3876 0.8876 0.0000  1 Li 2.26, 2 Pd 2.42
Li: 0.6124 0.1124 0.0000  1 Li 2.26, 2 Pd 2.42
Li: 0.8876 0.6124 0.0000  1 Li 2.26, 2 Pd 2.42
Mo: 0.0000 0.0000 0.0000  2 Mo 2.73, 4 Li 2.86, 8 Pd 2.92
Mo: 0.5000 0.5000 0.0000  2 Mo 2.73, 4 Li 2.86, 8 Pd 2.92
Pd: 0.1889 0.6889 0.5000  6 Li 2.42-2.59
Pd: 0.3111 0.1889 0.5000  6 Li 2.42-2.59
Pd: 0.6889 0.8111 0.5000  6 Li 2.42-2.59
Pd: 0.8111 0.3111 0.5000  6 Li 2.42-2.59

Summary:
**ΔE_f**: -25.0 kJ/mol of formula units
**Calculated volume**: 69 Å³/f.u.
**Electronic total energy**: -50.6 eV per cell
**Distance to the lowest polymorph of the same formula**: 0.0 meV/atom
**ρ**: 7.81 g/cm³

---

12.
Sm2ThPb: optimized geometry, PBE.

Unit cell a=5.0144 b=5.0144 c=4.8123 alpha=90.00 beta=90.00 gamma=90.00
Last column: nearest neighbours and their distance in Å.
Fractional positions:
Sm: 0.0000 0.5000 0.0000  4 Pb 3.48, 4 Th 3.48, 4 Sm 3.55
Sm: 0.5000 0.0000 0.0000  4 Pb 3.48, 4 Th 3.48, 4 Sm 3.55
Th: 0.0000 0.0000 0.5000  8 Sm 3.48, 4 Pb 3.55
Pb: 0.5000 0.5000 0.5000  8 Sm 3.48, 4 Th 3.55

Summary:
**ΔE_f**: -99.3 kJ/mol of formula units
**Calculated volume**: 121 Å³/f.u.
**Electronic total energy**: -21.6 eV per cell
**Distance to the lowest polymorph of the same formula**: 0.0 meV/atom
**ρ**: 10.15 g/cm³